[1]
First-principles (PBE) data for a relaxed structure of PmTmNiGe, as listed in Alexandria.

The space group is F-43m (No. 216) and the conventional cell measures 7.021, 7.021 and 7.021 Å, with angles of 90.00, 90.00 and 90.00 degrees. The asymmetric unit holds Pm at (0.000, 0.000, 0.000), Tm at (0.000, 0.000, 0.500), Ni at (0.250, 0.250, 0.750) and Ge at (0.250, 0.250, 0.250).

Its formation energy is -504 meV/atom.



[2]
First-principles (PBE) data for a relaxed structure of TaCdB2, as listed in Alexandria.

The space group is I-42d (No. 122) and the conventional cell measures 6.080, 6.080 and 6.027 Å, with angles of 90.00, 90.00 and 90.00 degrees. The asymmetric unit holds Ta at (0.000, 0.000, 0.000), Cd at (0.000, 0.000, 0.500) and B at (0.242, 0.250, 0.125).

Its formation energy is 839 meV/atom.



[3]
First-principles (PBE) data for a relaxed structure of NpMnOs2, as listed in Alexandria.

The space group is P4/mmm (No. 123) and the conventional cell measures 2.657, 2.657 and 8.427 Å, with angles of 90.00, 90.00 and 90.00 degrees. The asymmetric unit holds Np at (0.000, 0.000, 0.000), Mn at (0.000, 0.000, 0.500) and Os at (0.500, 0.500, 0.294).

Its formation energy is 243 meV/atom. The relative energy among the computed polymorphs is 4.208 kcal/mol of atoms.



[4]
First-principles (PBE) data for a relaxed structure of NaLiY2Cl8, as listed in Alexandria.

The space group is P2/m (No. 10) and the conventional cell measures 6.466, 8.086 and 6.475 Å, with angles of 90.00, 95.61 and 90.00 degrees. The asymmetric unit holds Na at (0.000, 0.000, 0.000), Li at (0.000, 0.500, 0.000), Y at (0.500, 0.254, 0.500), Cl at (0.201, 0.267, 0.198), Cl at (0.310, 0.500, 0.687) and Cl at (0.316, 0.000, 0.682).

Its uncorrected formation energy is -2.11 eV per atom.



Number 1: total DFT energy (no corrections) -5.41 eV per atom. Number 2: total DFT energy (no corrections) -5.69 eV per atom. Number 3: total DFT energy (no corrections) -10.90 eV per atom. Number 4: total DFT energy (no corrections) -4.68 eV per atom.